(1)
RbPb5: relaxed, PBE.

```
6
Lattice="-4.323 0.312 -3.274 4.454 -3.131 -1.673 -3.389 -6.275 3.876" Properties=species:S:1:pos:R:3 pbc="T T T"
Pb -1.694 -3.138 1.938
Pb -0.678 -6.054 0.319
Pb -2.580 -3.040 -1.390
Pb 0.669 -3.646 -1.231
Pb -3.927 -5.448 0.160
Rb 0.000 0.000 0.000
```

Computed properties:
E_form: -43 meV per atom
D(E_F): 3.08 states/eV/f.u.
Total energy: -3.295 eV/atom
Size of the total moment: 0.0 μB/f.u.



(2)
SmGaAs: relaxed, PBE.

```
6
Lattice="-1.373 -2.195 -3.269 2.291 -3.260 1.227 -6.515 -2.833 4.639" Properties=species:S:1:pos:R:3 pbc="T T T"
Sm -3.283 -3.556 3.767
Sm -2.773 -2.004 -0.149
As -5.032 -2.987 1.460
As -1.024 -2.574 2.158
Ga 0.898 -1.738 0.790
Ga -6.954 -3.823 2.828
```

Computed properties:
E_form: -915 meV per atom
D(E_F): 0.67 states/eV/f.u.
Total energy: -5.047 eV/atom
Size of the total moment: 0.0 μB/f.u.



(3)
ZrSc2Fe: relaxed, PBE.

```
4
Lattice="-5.562 -0.410 1.501 -2.020 -4.867 2.365 3.730 4.397 0.347" Properties=species:S:1:pos:R:3 pbc="T T T"
Sc -4.139 -2.880 2.110
Sc -7.234 -5.035 3.688
Fe -2.812 0.674 1.890
Zr -1.040 -1.554 2.322
```

Computed properties:
E_form: -65 meV per atom
D(E_F): 4.33 states/eV/f.u.
Total energy: -7.484 eV/atom
Size of the total moment: 0.0 μB/f.u.



(4)
LaPm2Sn4: relaxed, PBE.

```
14
Lattice="-1.597 7.908 1.678 -6.800 -4.146 -2.114 3.381 -2.928 6.920" Properties=species:S:1:pos:R:3 pbc="T T T"
Pm -4.127 -1.025 -0.031
Pm -4.054 -2.943 4.027
Pm -0.516 5.021 4.607
Pm -1.335 0.613 4.366
Sn -4.207 0.099 3.081
Sn 0.781 -1.285 5.811
Sn -5.195 -3.898 1.070
Sn -0.502 2.828 2.127
Sn -0.126 2.638 6.690
Sn -2.964 3.144 5.417
Sn -6.007 1.533 -0.338
Sn -1.841 -1.725 2.078
La -3.752 3.126 1.931
La 0.000 0.000 0.000
```

Computed properties:
E_form: -582 meV per atom
D(E_F): 5.31 states/eV/f.u.
Total energy: -4.931 eV/atom
Size of the total moment: 0.0 μB/f.u.



(5)
EuO2: relaxed, PBE.

```
3
Lattice="3.897 0.000 0.000 1.948 3.375 0.000 1.948 1.125 3.182" Properties=species:S:1:pos:R:3 pbc="T T T"
Eu 0.000 0.000 0.000
O 1.948 1.125 0.795
O 5.845 3.375 2.386
```

Computed properties:
Formation energy (no corrections): -2175 meV/atom
D(E_F): 5.00 states/eV/f.u.
Total energy: -8.905 eV/atom
Size of the total moment: 5.0 μB/f.u.



(6)
Ta2Be2Co5Mo: relaxed, PBE.

```
20
Lattice="3.308 0.000 0.000 0.000 8.424 0.000 0.000 0.000 8.424" Properties=species:S:1:pos:R:3 pbc="T T T"
Ta 0.000 5.701 1.489
Ta 0.000 6.935 5.701
Ta 0.000 1.489 2.723
Ta 0.000 2.723 6.935
Co 1.654 4.791 6.005
Co 1.654 6.005 3.634
Co 1.654 2.420 4.791
Co 1.654 7.846 1.793
Co 1.654 4.212 0.000
Co 1.654 0.000 4.212
Co 1.654 3.634 2.420
Co 1.654 6.632 7.846
Co 1.654 0.578 6.632
Co 1.654 1.793 0.578
Mo 0.000 4.212 4.212
Mo 0.000 0.000 0.000
Be 0.000 0.985 5.197
Be 0.000 7.439 3.227
Be 0.000 5.197 7.439
Be 0.000 3.227 0.985
```

Computed properties:
E_form: -225 meV per atom
D(E_F): 9.55 states/eV/f.u.
Total energy: -7.977 eV/atom
Size of the total moment: 0.0 μB/f.u.



(7)
Th3Sn4Au3: relaxed, PBE.

```
20
Lattice="8.247 0.000 -2.916 -4.123 7.142 -2.916 0.000 0.000 8.747" Properties=species:S:1:pos:R:3 pbc="T T T"
Au 5.670 0.893 5.102
Au -2.062 5.356 0.729
Au 1.546 6.249 -2.187
Au 4.639 4.464 2.187
Au 0.515 2.678 3.645
Au 2.062 1.785 -0.729
Sn 2.807 2.280 1.985
Sn 0.745 5.851 0.527
Sn 4.695 3.571 -3.847
Sn 4.869 1.291 -0.931
Sn 0.000 0.000 2.793
Sn 0.571 3.571 -2.389
Sn -1.317 4.862 3.443
Sn 0.000 0.000 7.166
Th 2.577 0.893 5.102
Th 6.185 1.785 2.187
Th 2.062 5.356 3.645
Th -1.546 6.249 -2.187
Th -0.515 2.678 0.729
Th 3.608 4.464 -0.729
```

Computed properties:
E_form: -681 meV per atom
D(E_F): 6.79 states/eV/f.u.
Total energy: -5.491 eV/atom
Size of the total moment: 0.0 μB/f.u.



(8)
Tb3Nd12Dy: relaxed, PBE.

```
16
Lattice="5.163 0.000 0.000 0.000 5.163 0.000 0.000 0.000 20.599" Properties=species:S:1:pos:R:3 pbc="T T T"
Nd 2.582 2.582 5.145
Nd 0.000 2.582 18.030
Nd 2.582 0.000 7.722
Nd 0.000 2.582 7.722
Nd 2.582 0.000 2.569
Nd 2.582 0.000 18.030
Nd 2.582 2.582 0.000
Nd 0.000 2.582 2.569
Nd 0.000 2.582 12.877
Nd 2.582 0.000 12.877
Nd 2.582 2.582 15.454
Nd 2.582 2.582 10.300
Dy 0.000 0.000 0.000
Tb 0.000 0.000 15.453
Tb 0.000 0.000 10.300
Tb 0.000 0.000 5.146
```

Computed properties:
E_form: 13 meV per atom
D(E_F): 24.50 states/eV/f.u.
Total energy: -4.718 eV/atom
Size of the total moment: 0.0 μB/f.u.



(9)
PmAu6: relaxed, PBE.

```
7
Lattice="6.422 0.000 0.000 0.000 6.422 0.000 0.000 0.000 6.422" Properties=species:S:1:pos:R:3 pbc="T T T"
Au 5.161 3.211 3.211
Au 1.261 3.211 3.211
Au 3.211 3.211 1.261
Au 3.211 5.161 3.211
Au 3.211 1.261 3.211
Au 3.211 3.211 5.161
Pm 0.000 0.000 0.000
```

Computed properties:
E_form: 784 meV per atom
D(E_F): 8.49 states/eV/f.u.
Total energy: -2.704 eV/atom
Size of the total moment: 1.0 μB/f.u.



(10)
Ga2HgPd2: relaxed, PBE.

```
5
Lattice="3.756 0.000 0.000 0.000 3.756 0.000 1.878 1.878 6.317" Properties=species:S:1:pos:R:3 pbc="T T T"
Pd 1.878 1.878 1.396
Pd 3.756 3.756 4.921
Ga 3.756 1.878 3.159
Ga 1.878 3.756 3.159
Hg 0.000 0.000 0.000
```

Computed properties:
E_form: -334 meV per atom
D(E_F): 1.54 states/eV/f.u.
Total energy: -3.683 eV/atom
Size of the total moment: 0.0 μB/f.u.



(11)
LaPmNiPd: relaxed, PBE.

```
4
Lattice="-4.183 2.784 0.704 -4.225 -2.174 1.779 -1.598 1.034 4.703" Properties=species:S:1:pos:R:3 pbc="T T T"
Pd -2.502 0.411 1.796
Pm 0.000 0.000 0.000
La -5.003 0.822 3.593
Ni -7.505 1.232 5.389
```

Computed properties:
E_form: -480 meV per atom
D(E_F): 4.48 states/eV/f.u.
Total energy: -5.643 eV/atom
Size of the total moment: 0.0 μB/f.u.



(12)
Te2W3Se2S2: relaxed, PBE.

```
9
Lattice="3.346 0.000 0.000 -1.673 2.898 0.000 0.000 0.000 22.705" Properties=species:S:1:pos:R:3 pbc="T T T"
W 0.000 0.000 22.031
W 1.673 0.966 14.997
W 0.000 0.000 7.453
S 1.673 0.966 20.510
S 1.673 0.966 0.846
Te 1.673 0.966 5.545
Te 1.673 0.966 9.361
Se 0.000 0.000 16.671
Se 0.000 0.000 13.323
```

Computed properties:
Formation energy (no corrections): -434 meV/atom
D(E_F): 0.58 states/eV/f.u.
Total energy: -7.141 eV/atom
Size of the total moment: 0.0 μB/f.u.